# 1
Density functional theory data (PBE-GGA) for crystalline NaPm2Dy at its relaxed geometry.

Cell lengths 3.536, 3.536, 10.904 Å; angles 90.00, 90.00, 90.00 degrees
Space group P4/mmm (No. 123)
Inequivalent atoms, fractional coordinates:
Na (0.000, 0.000, 0.000)
Pm (0.500, 0.500, 0.268)
Dy (0.000, 0.000, 0.500)

Properties
calculated formation energy	0.10	eV/atom
density of states at the Fermi level	3.87	states/eV/cell
VASP energy	-15.01	eV/cell



# 2
Density functional theory data (PBE-GGA) for crystalline CsTmScTe3 at its relaxed geometry.

Cell lengths 10.217, 4.575, 11.139 Å; angles 90.00, 111.61, 90.00 degrees
Space group P2_1/m (No. 11)
Inequivalent atoms, fractional coordinates:
Cs (0.217, 0.250, 0.242)
Tm (0.338, 0.750, 0.867)
Sc (0.084, 0.250, 0.609)
Te (0.129, 0.250, 0.871)
Te (0.215, 0.750, 0.554)
Te (0.473, 0.750, 0.156)

Properties
density of states at the Fermi level	5.50	states/eV/cell
VASP energy	-56.74	eV/cell



# 3
Density functional theory data (PBE-GGA) for crystalline CuTcSe2 at its relaxed geometry.

Cell lengths 3.2506, 3.2506, 21.8353 Å; angles 90.00, 90.00, 120.00 degrees
Space group R-3m (No. 166, hexagonal axes)
Inequivalent atoms, fractional coordinates:
Cu (0.0000, 0.0000, 0.0000)
Tc (0.0000, 0.0000, 0.5000)
Se (0.0000, 0.0000, 0.2479)

Properties
density of states at the Fermi level	8.27	states/eV/cell
VASP energy	-63.82	eV/cell



# 4
Density functional theory data (PBE-GGA) for crystalline LiPuOsRh at its relaxed geometry.

Cell lengths 6.364, 6.364, 6.364 Å; angles 90.00, 90.00, 90.00 degrees
Space group F-43m (No. 216)
Inequivalent atoms, fractional coordinates:
Li (0.000, 0.000, 0.000)
Pu (0.000, 0.000, 0.500)
Os (0.250, 0.250, 0.250)
Rh (0.250, 0.250, 0.750)

Properties
calculated formation energy	-0.09	eV/atom
density of states at the Fermi level	17.51	states/eV/cell
VASP energy	-140.82	eV/cell



# 5
Density functional theory data (PBE-GGA) for crystalline RbSi3Ge at its relaxed geometry.

Cell lengths 5.055, 5.055, 5.055 Å; angles 90.00, 90.00, 90.00 degrees
Space group Pm-3m (No. 221)
Inequivalent atoms, fractional coordinates:
Rb (0.000, 0.000, 0.000)
Si (0.000, 0.500, 0.500)
Ge (0.500, 0.500, 0.500)

Properties
density of states at the Fermi level	3.73	states/eV/cell
VASP energy	-17.64	eV/cell



# 6
Density functional theory data (PBE-GGA) for crystalline HfGeAu2 at its relaxed geometry.

Cell lengths 6.713, 6.713, 6.713 Å; angles 90.00, 90.00, 90.00 degrees
Space group Fm-3m (No. 225)
Inequivalent atoms, fractional coordinates:
Hf (0.000, 0.000, 0.000)
Ge (0.000, 0.000, 0.500)
Au (0.250, 0.250, 0.250)

Properties
calculated formation energy	-0.22	eV/atom
density of states at the Fermi level	0.20	states/eV/cell
VASP energy	-88.01	eV/cell



# 7
Density functional theory data (PBE-GGA) for crystalline YbCuSi at its relaxed geometry.

Cell lengths 4.1179, 4.1179, 7.8764 Å; angles 90.00, 90.00, 120.00 degrees
Space group P6_3/mmc (No. 194)
Inequivalent atoms, fractional coordinates:
Yb (0.0000, 0.0000, 0.0000)
Cu (0.3333, 0.6667, 0.2500)
Si (0.3333, 0.6667, 0.7500)

Properties
density of states at the Fermi level	3.12	states/eV/cell
VASP energy	-24.77	eV/cell



# 8
Density functional theory data (PBE-GGA) for crystalline PmSm2DyHo2 at its relaxed geometry.

Cell lengths 6.651, 17.655, 3.395 Å; angles 90.00, 90.00, 90.00 degrees
Space group Pnnm (No. 58)
Inequivalent atoms, fractional coordinates:
Pm (0.000, 0.000, 0.000)
Sm (0.230, 0.349, 0.500)
Dy (0.000, 0.500, 0.000)
Ho (0.234, 0.179, 0.000)

Properties
calculated formation energy	0.27	eV/atom
density of states at the Fermi level	18.59	states/eV/cell
VASP energy	-52.69	eV/cell



# 9
Density functional theory data (PBE-GGA) for crystalline Ac2AgHg8 at its relaxed geometry.

Cell lengths 17.318, 5.067, 7.619 Å; angles 90.00, 116.05, 90.00 degrees
Space group C2/m (No. 12)
Inequivalent atoms, fractional coordinates:
Ac (0.213, 0.000, 0.213)
Ag (0.000, 0.500, 0.500)
Hg (0.000, 0.000, 0.207)
Hg (0.120, 0.500, 0.908)
Hg (0.121, 0.500, 0.334)
Hg (0.142, 0.000, 0.642)

Properties
calculated formation energy	-0.26	eV/atom
density of states at the Fermi level	10.63	states/eV/cell
VASP energy	-32.73	eV/cell